Crystalline ZrSc2Pt at its relaxed geometry, computed with PBE.

Its symmetry is R-3m, No. 166. The calculation puts the energy relative to the elements at -188 meV per atom. As for the total magnetization: 0.00 μB/atom.

abc: 10.256 10.256 10.256
angles: 17.99 17.99 17.99
Atoms (fractional coordinates):
Sc (0.899, 0.899, 0.899)
Sc (0.101, 0.101, 0.101)
Zr (0.000, 0.000, 0.000)
Pt (0.500, 0.500, 0.500)



Crystalline ZrSc2Pt2 at its relaxed geometry, computed with PBE.

Its symmetry is I4/mmm, No. 139. The calculation puts the energy relative to the elements at -723 meV per atom. As for the total magnetization: 0.00 μB/atom.

abc: 4.267 4.267 6.483
angles: 70.79 70.79 90.00
Atoms (fractional coordinates):
Sc (0.750, 0.250, 0.500)
Sc (0.250, 0.750, 0.500)
Zr (0.000, 0.000, 0.000)
Pt (0.389, 0.389, 0.223)
Pt (0.611, 0.611, 0.777)



Crystalline ZrSc2Pt at its relaxed geometry, computed with PBE.

Its symmetry is R3m, No. 160. The calculation puts the energy relative to the elements at -340 meV per atom. As for the total magnetization: 0.00 μB/atom.

abc: 9.447 9.447 9.447
angles: 20.41 20.41 20.41
Atoms (fractional coordinates):
Pt (0.749, 0.749, 0.749)
Sc (0.015, 0.015, 0.015)
Sc (0.247, 0.247, 0.247)
Zr (0.490, 0.490, 0.490)